[1]
The following is a DFT calculation (PBE) of a relaxed Pm4Dy2Tm3 crystal.

Properties
Energy above the lowest structure with this stoichiometry in eV/atom: 0.0265
N(E_F) in states/eV per cell: 23.38
Size of the total moment in μB/f.u.: 0.00
Final energy in eV/atom: -4.58
Space-group type: Cccm, No. 66
ΔE_f in eV/f.u.: 0.41

POSCAR file:
```
Pm4Dy2Tm3
1.0
7.0367 0.0230 0.0165
-0.0335 9.7035 0.9557
-0.0335 4.0313 8.8780
Pm Dy Tm
8 4 6
direct
0.5001 0.8187 0.1488
0.9999 0.8512 0.1813
0.4999 0.1813 0.8512
0.0001 0.1488 0.8187
0.9999 0.1798 0.4719
0.5001 0.5280 0.8202
0.0001 0.8202 0.5281
0.4999 0.4720 0.1798
0.4998 0.1504 0.5297
0.0002 0.4703 0.8496
0.5002 0.8496 0.4703
0.9998 0.5297 0.1504
0.7500 0.1697 0.1695
0.7500 0.8305 0.8303
0.2500 0.8303 0.8305
0.2500 0.1695 0.1697
0.2500 0.5001 0.4999
0.7500 0.4999 0.5001
```

[2]
The following is a DFT calculation (PBE) of a relaxed Pm9Dy11Tm4 crystal.

Properties
N(E_F) in states/eV per cell: 32.32
Size of the total moment in μB/f.u.: 0.00
Final energy in eV/atom: -4.58
Space-group type: Cmmm, No. 65
ΔE_f in eV/f.u.: 1.24

POSCAR file:
```
Pm9Dy11Tm4
1.0
-2.9193 2.1417 -0.6751
-8.2152 -12.3222 -3.5663
-0.7394 3.6482 14.7712
Pm Dy Tm
9 11 4
direct
0.5000 0.6295 0.1639
0.5000 0.3705 0.8361
0.5000 0.1639 0.6295
0.5000 0.8361 0.3705
0.5000 0.7858 0.9333
0.5000 0.2142 0.0667
0.5000 0.9333 0.7858
0.5000 0.0667 0.2142
0.5000 0.5000 0.5000
0.0000 0.5941 0.9549
0.0000 0.4059 0.0451
0.0000 0.9549 0.5941
0.0000 0.0451 0.4059
0.0000 0.6316 0.3684
0.0000 0.3684 0.6316
0.0000 0.8388 0.1612
0.0000 0.1612 0.8388
0.0000 0.0000 0.0000
0.0000 0.7088 0.7088
0.0000 0.2912 0.2912
0.5000 0.5553 0.7567
0.5000 0.4447 0.2433
0.5000 0.7567 0.5553
0.5000 0.2433 0.4447
```

[3]
The following is a DFT calculation (PBE) of a relaxed Pm4Dy2Tm3 crystal.

Properties
Energy above the lowest structure with this stoichiometry in eV/atom: 0.0000
N(E_F) in states/eV per cell: 11.73
Size of the total moment in μB/f.u.: 0.00
Final energy in eV/atom: -4.61
Space-group type: C2/m, No. 12
ΔE_f in eV/f.u.: 0.17

POSCAR file:
```
Pm4Dy2Tm3
1.0
5.0630 0.0005 0.0014
2.5307 5.5323 1.0324
-0.0011 1.4108 10.6147
Pm Dy Tm
4 2 3
direct
0.6666 0.6670 0.8882
0.0010 0.9978 0.3333
0.9990 0.0022 0.6667
0.3334 0.3330 0.1118
0.3321 0.3360 0.7756
0.6679 0.6640 0.2244
0.3340 0.3318 0.4460
0.0000 0.0000 0.0000
0.6660 0.6682 0.5540
```

[4]
The following is a DFT calculation (PBE) of a relaxed PmDy2Tm crystal.

Properties
Energy above the lowest structure with this stoichiometry in eV/atom: 0.2004
N(E_F) in states/eV per cell: 28.03
Size of the total moment in μB/f.u.: 0.00
Final energy in eV/atom: -4.39
Space-group type: P2/c, No. 13
ΔE_f in eV/f.u.: 0.85

POSCAR file:
```
PmDy2Tm
1.0
6.8940 0.0000 0.0000
0.0000 6.7418 -1.5199
0.0000 -4.3043 12.3405
Pm Dy Tm
4 8 4
direct
0.3731 0.0135 0.3880
0.6269 0.9865 0.6120
0.3731 0.4865 0.1120
0.6269 0.5135 0.8880
0.6260 0.0108 0.8863
0.3740 0.9892 0.1137
0.6260 0.4892 0.6137
0.3740 0.5108 0.3863
0.8752 0.4873 0.1137
0.1248 0.5127 0.8863
0.8752 0.0127 0.3863
0.1248 0.9873 0.6137
0.1236 0.4890 0.6127
0.8764 0.5110 0.3873
0.1236 0.0110 0.8873
0.8764 0.9890 0.1127
```

[5]
The following is a DFT calculation (PBE) of a relaxed Pm2Dy7Tm2 crystal.

Properties
Energy above the lowest structure with this stoichiometry in eV/atom: 0.0346
N(E_F) in states/eV per cell: 17.48
Size of the total moment in μB/f.u.: 0.00
Final energy in eV/atom: -4.45
Space-group type: C2/m, No. 12
ΔE_f in eV/f.u.: 1.68

POSCAR file:
```
Pm2Dy7Tm2
1.0
5.7448 1.0865 1.5679
0.5054 7.8888 1.3301
0.5054 -1.5249 7.8535
Pm Dy Tm
2 7 2
direct
0.8032 0.4135 0.4135
0.1968 0.5865 0.5865
0.1793 0.0607 0.5880
0.8207 0.4120 0.9393
0.8207 0.9393 0.4120
0.1793 0.5880 0.0607
0.0000 0.0000 0.0000
0.5828 0.7730 0.7730
0.4172 0.2270 0.2270
0.5000 0.2154 0.7846
0.5000 0.7846 0.2154
```

[6]
The following is a DFT calculation (PBE) of a relaxed Pm8Dy6Tm crystal.

Properties
N(E_F) in states/eV per cell: 22.25
Size of the total moment in μB/f.u.: 0.00
Final energy in eV/atom: -4.50
Space-group type: R-3, No. 148
ΔE_f in eV/f.u.: 2.62

POSCAR file:
```
Pm8Dy6Tm
1.0
9.7879 0.0000 0.0000
4.8939 8.4766 0.0000
4.8939 2.8255 5.9879
Pm Dy Tm
8 6 1
direct
0.3552 0.2264 0.4883
0.7736 0.0700 0.5117
0.0700 0.6448 0.5117
0.5860 0.5860 0.2420
0.4140 0.4140 0.7580
0.9300 0.3552 0.4883
0.2264 0.9300 0.4883
0.6448 0.7736 0.5117
0.3918 0.9244 0.9677
0.0756 0.2839 0.0323
0.2839 0.6082 0.0323
0.7161 0.3918 0.9677
0.9244 0.7161 0.9677
0.6082 0.0756 0.0323
0.0000 0.0000 0.0000
```

[7]
The following is a DFT calculation (PBE) of a relaxed PmDy6Tm3 crystal.

Properties
Energy above the lowest structure with this stoichiometry in eV/atom: 0.0000
N(E_F) in states/eV per cell: 27.25
Size of the total moment in μB/f.u.: 0.00
Final energy in eV/atom: -4.43
Space-group type: Cmc2_1, No. 36
ΔE_f in eV/f.u.: 1.51

POSCAR file:
```
PmDy6Tm3
1.0
-5.9802 1.4690 0.2633
-0.4276 0.2124 -10.8964
-2.0509 -9.3018 5.3132
Pm Dy Tm
2 12 6
direct
0.1533 0.2067 0.7933
0.6533 0.7933 0.2067
0.0317 0.7101 0.6193
0.5317 0.6193 0.7101
0.3627 0.5403 0.9598
0.8627 0.9598 0.5403
0.4141 0.9531 0.0469
0.6434 0.2847 0.7153
0.1434 0.7153 0.2847
0.9141 0.0469 0.9531
0.3627 0.0402 0.4597
0.8627 0.4597 0.0402
0.0317 0.3807 0.2899
0.5317 0.2899 0.3807
0.4556 0.9359 0.7181
0.9556 0.7181 0.9359
0.0746 0.3893 0.6107
0.5746 0.6107 0.3893
0.9556 0.0641 0.2819
0.4556 0.2819 0.0641
```

[8]
The following is a DFT calculation (PBE) of a relaxed Pm5DyTm6 crystal.

Properties
N(E_F) in states/eV per cell: 16.14
Size of the total moment in μB/f.u.: 0.00
Final energy in eV/atom: -4.58
Space-group type: Immm, No. 71
ΔE_f in eV/f.u.: 0.24

POSCAR file:
```
Pm5DyTm6
1.0
-3.1242 3.5620 1.7653
-7.6805 -6.2881 -0.9079
6.5875 -1.1053 6.6430
Tm Pm Dy
6 5 1
direct
0.8337 0.5842 0.6672
0.8337 0.0830 0.6672
0.5000 0.7510 0.0000
0.5000 0.2490 0.0000
0.1663 0.9170 0.3328
0.1663 0.4158 0.3328
0.6656 0.1655 0.3311
0.3332 0.3333 0.6665
0.0000 0.5000 0.0000
0.6668 0.6667 0.3335
0.3344 0.8345 0.6689
0.0000 0.0000 0.0000
```